Entry 1:
## Ca2InN (PBE-GGA)

Data for a relaxed structure of Ca2InN.

Geometry as extended XYZ:
```
8
Lattice="-1.491 0.098 3.214 2.962 -5.193 1.532 5.592 6.362 2.401" Properties=species:S:1:pos:R:3 pbc="T T T"
Ca 2.926 4.217 4.270
N 2.941 1.805 4.350
Ca 2.955 -0.608 4.430
N 5.167 -0.841 3.509
In 1.627 -3.973 3.914
In 0.891 -1.425 1.541
Ca 5.153 1.572 3.429
Ca 2.220 1.940 2.057
```

Formation energy without anion corrections ... -0.66 eV/atom
Energy above the lowest structure with this stoichiometry ... 0.0388 eV/atom

***

Entry 2:
## LiOs4Pt (PBE-GGA)

Data for a relaxed structure of LiOs4Pt.

Geometry as extended XYZ:
```
6
Lattice="0.121 -3.134 4.059 -4.102 -0.401 3.054 -2.787 -4.307 -0.001" Properties=species:S:1:pos:R:3 pbc="T T T"
Pt -5.075 -5.882 5.334
Os -4.585 -3.144 4.192
Os -3.929 -5.090 2.670
Li 0.000 0.000 0.000
Os -2.480 -4.506 4.693
Os -2.541 -2.944 2.670
```

ΔH_f (0 K) ... 64 kJ/mol of atoms

***

Entry 3:
## U6TlS8 (PBE-GGA)

Data for a relaxed structure of U6TlS8.

Geometry as extended XYZ:
```
15
Lattice="-5.382 5.298 -0.102 -4.441 -5.308 -3.025 -1.465 -2.089 7.109" Properties=species:S:1:pos:R:3 pbc="T T T"
Tl 0.000 0.000 0.000
S -8.046 -1.496 2.838
S -4.019 -4.136 0.543
U -4.254 -2.510 2.743
S -3.343 0.166 4.727
U -7.033 0.411 1.238
U -5.537 -1.114 -0.157
U -5.751 -0.986 4.139
S -5.528 1.572 -0.724
S -5.760 -3.672 4.706
S -7.944 -2.266 -0.746
U -6.354 -2.985 1.373
S -7.269 2.037 3.438
S -3.242 -0.603 1.143
U -4.933 0.885 2.608
```

Formation energy without anion corrections ... -0.93 eV/atom

***

Entry 4:
## Nd5Bi4I (PBE-GGA)

Data for a relaxed structure of Nd5Bi4I.

Geometry as extended XYZ:
```
10
Lattice="-2.950 3.006 1.903 -1.355 -4.295 4.684 10.668 4.946 3.114" Properties=species:S:1:pos:R:3 pbc="T T T"
Nd 0.359 2.429 2.331
Bi -0.474 0.203 4.557
Nd -0.678 -2.148 2.342
Bi 3.433 1.734 2.583
Nd 6.004 1.227 7.370
Nd 3.653 4.093 4.810
Bi 6.837 3.453 5.144
Bi 2.930 1.923 7.118
Nd 2.710 -0.436 4.891
I 0.000 0.000 0.000
```

Formation energy without anion corrections ... -0.94 eV/atom